DFT (PBEsol) results for crystalline Mg16BeAl12 at its relaxed geometry. Values from VASP.

Quantum ESPRESSO input file:
```
&SYSTEM
  ibrav = 0, nat = 29, ntyp = 3
/
ATOMIC_SPECIES
Mg 24.30 Mg.upf
Be 9.01 Be.upf
Al 26.98 Al.upf
CELL_PARAMETERS angstrom
7.2617 4.1926 3.0702
-7.2617 4.1926 3.0702
0.0000 -8.3851 3.0702
ATOMIC_POSITIONS crystal
Mg 0.0000 0.0000 0.0000
Mg 0.0059 0.0059 0.6549
Mg 0.0059 0.6549 0.0059
Mg 0.0075 0.4087 0.6850
Mg 0.0075 0.6850 0.4087
Mg 0.3033 0.5823 0.5823
Mg 0.3204 0.3204 0.7234
Mg 0.3204 0.7234 0.3204
Mg 0.4087 0.0075 0.6850
Mg 0.4087 0.6850 0.0075
Mg 0.5823 0.3033 0.5823
Mg 0.5823 0.5823 0.3033
Mg 0.6549 0.0059 0.0059
Mg 0.6850 0.0075 0.4087
Mg 0.6850 0.4087 0.0075
Mg 0.7234 0.3204 0.3204
Be 0.2851 0.2851 0.2851
Al 0.0066 0.1887 0.3705
Al 0.0066 0.3705 0.1887
Al 0.1887 0.0066 0.3705
Al 0.1887 0.3705 0.0066
Al 0.1985 0.8173 0.8173
Al 0.3705 0.0066 0.1887
Al 0.3705 0.1887 0.0066
Al 0.6486 0.6486 0.8385
Al 0.6486 0.8385 0.6486
Al 0.8173 0.1985 0.8173
Al 0.8173 0.8173 0.1985
Al 0.8385 0.6486 0.6486
```

Calculated values
DFT formation energy: 0.0270 eV/atom
M_tot: 0.00 μB/f.u.